# Pm5HgBi4, relaxed, DFT PBE-GGA
data_Pm5HgBi4
_chemical_formula_sum 'Pm10 Hg2 Bi8'
_cell_length_a 4.557
_cell_length_b 4.557
_cell_length_c 32.221
_cell_angle_alpha 90.00
_cell_angle_beta 90.00
_cell_angle_gamma 90.00
_symmetry_space_group_name_H-M 'I 4/m m m'
_symmetry_Int_Tables_number 139
_symmetry_space_group_name_Hall '-I 4 2'
loop_
_atom_site_label
_atom_site_fract_x
_atom_site_fract_y
_atom_site_fract_z
Pm1 0.000 0.000 0.000
Pm2 0.000 0.000 0.200
Pm3 0.000 0.000 0.398
Hg1 0.000 0.000 0.500
Bi1 0.000 0.000 0.099
Bi2 0.000 0.000 0.300
# **Mass density**: 8.7 g/cm³
# **Total moment**: 0.0 μB/cell
# **ΔE_f**: -0.79 eV/atom
# **Fermi-level density of states**: 4.8 states/eV/f.u.
# **E**: -4.7480 eV/atom